[1]
# AlRuW2

An optimized crystal structure of AlRuW2 (PBE, Alexandria).

Calculated values
D(E_F) in states/eV per cell: 2.00
Energy of formation in meV per atom: -63.4
Calculated volume in Å³/f.u.: 61

a b c (Å): 2.7852 4.1984 5.2446
angles (deg): 90.00 99.12 90.00
Fractional positions:
Al  0.0000  0.0000  0.0000
Ru  0.0000  0.0000  0.5000
W  0.4902  0.5000  0.7519
W  0.5098  0.5000  0.2481

[2]
# Th2TaOs

An optimized crystal structure of Th2TaOs (PBE, Alexandria).

Calculated values
D(E_F) in states/eV per cell: 5.66
Energy of formation in meV per atom: 729.5
Calculated volume in Å³/f.u.: 94

a b c (Å): 10.8012 10.8012 10.8012
angles (deg): 17.01 17.01 17.01
Fractional positions:
Th  0.0927  0.0927  0.0927
Th  0.9073  0.9073  0.9073
Ta  0.0000  0.0000  0.0000
Os  0.5000  0.5000  0.5000

[3]
# LaEr2Cd2

An optimized crystal structure of LaEr2Cd2 (PBE, Alexandria).

Calculated values
D(E_F) in states/eV per cell: 9.06
Energy of formation in meV per atom: -47.0
Calculated volume in Å³/f.u.: 155

a b c (Å): 12.8282 12.8282 12.8282
angles (deg): 157.43 157.43 32.14
Fractional positions:
La  0.1237  0.1237  0.0000
La  0.8763  0.8763  0.0000
Er  0.2500  0.7500  0.5000
Er  0.4294  0.4294  0.0000
Er  0.5706  0.5706  0.0000
Er  0.7500  0.2500  0.5000
Cd  0.0000  0.5000  0.5000
Cd  0.3160  0.3160  0.0000
Cd  0.5000  0.0000  0.5000
Cd  0.6840  0.6840  0.0000

[4]
# NaPm2Pb9

An optimized crystal structure of NaPm2Pb9 (PBE, Alexandria).

Calculated values
D(E_F) in states/eV per cell: 3.72
Energy of formation in meV per atom: -283.5
Calculated volume in Å³/f.u.: 356

a b c (Å): 4.8732 4.8732 14.9846
angles (deg): 90.00 90.00 90.00
Fractional positions:
Na  0.0000  0.0000  0.0000
Pm  0.0000  0.0000  0.3371
Pm  0.0000  0.0000  0.6629
Pb  0.0000  0.5000  0.1642
Pb  0.0000  0.5000  0.5000
Pb  0.0000  0.5000  0.8358
Pb  0.5000  0.0000  0.1642
Pb  0.5000  0.0000  0.5000
Pb  0.5000  0.0000  0.8358
Pb  0.5000  0.5000  0.0000
Pb  0.5000  0.5000  0.3302
Pb  0.5000  0.5000  0.6698

[5]
# Mg2TcCl

An optimized crystal structure of Mg2TcCl (PBE, Alexandria).

Calculated values
Formation energy without anion corrections in eV/atom: -0.207
D(E_F) in states/eV per cell: 2.04
Calculated volume in Å³/f.u.: 73

a b c (Å): 3.3351 3.3351 8.6881
angles (deg): 106.32 106.32 53.11
Fractional positions:
Mg  0.0939  0.0939  0.2581
Mg  0.9061  0.9061  0.7419
Tc  0.5000  0.5000  0.5000
Cl  0.5000  0.5000  0.0000

[6]
# Hg2HPdRh

An optimized crystal structure of Hg2HPdRh (PBE, Alexandria).

Calculated values
DFT total energy in eV/atom: -3.236
D(E_F) in states/eV per cell: 1.22
Calculated volume in Å³/f.u.: 75

a b c (Å): 4.6747 4.6747 3.4284
angles (deg): 90.00 90.00 90.00
Fractional positions:
Hg  0.0000  0.5000  0.0000
Hg  0.5000  0.0000  0.0000
H  0.0000  0.0000  0.0000
Pd  0.5000  0.5000  0.5000
Rh  0.0000  0.0000  0.5000

[7]
# Zn4ReAg

An optimized crystal structure of Zn4ReAg (PBE, Alexandria).

Calculated values
D(E_F) in states/eV per cell: 5.21
Energy of formation in meV per atom: 363.8
Calculated volume in Å³/f.u.: 88

a b c (Å): 4.9946 4.9946 4.9946
angles (deg): 60.00 60.00 60.00
Fractional positions:
Zn  0.3758  0.3758  0.3758
Zn  0.3758  0.3758  0.8726
Zn  0.3758  0.8726  0.3758
Zn  0.8726  0.3758  0.3758
Re  0.7500  0.7500  0.7500
Ag  0.0000  0.0000  0.0000

[8]
# CrC3Br

An optimized crystal structure of CrC3Br (PBE, Alexandria).

Calculated values
Formation energy without anion corrections in eV/atom: 3.691
D(E_F) in states/eV per cell: 6.95
Calculated volume in Å³/f.u.: 57

a b c (Å): 3.8488 3.8488 3.8488
angles (deg): 90.00 90.00 90.00
Fractional positions:
Cr  0.0000  0.0000  0.0000
C  0.0000  0.5000  0.5000
C  0.5000  0.0000  0.5000
C  0.5000  0.5000  0.0000
Br  0.5000  0.5000  0.5000

[9]
# ScBRu2Pt

An optimized crystal structure of ScBRu2Pt (PBE, Alexandria).

Calculated values
D(E_F) in states/eV per cell: 2.53
Energy of formation in meV per atom: -541.5
Calculated volume in Å³/f.u.: 71

a b c (Å): 4.1647 4.1647 4.1136
angles (deg): 90.00 90.00 90.00
Fractional positions:
Sc  0.0000  0.0000  0.0000
B  0.5000  0.5000  0.5000
Ru  0.0000  0.5000  0.5000
Ru  0.5000  0.0000  0.5000
Pt  0.5000  0.5000  0.0000

[10]
# Mn2SbRhC

An optimized crystal structure of Mn2SbRhC (PBE, Alexandria).

Calculated values
Formation energy without anion corrections in eV/atom: 1.672
D(E_F) in states/eV per cell: 2.82
Calculated volume in Å³/f.u.: 116

a b c (Å): 4.8995 4.8995 4.8416
angles (deg): 90.00 90.00 90.00
Fractional positions:
Mn  0.0000  0.5000  0.0000
Mn  0.5000  0.0000  0.0000
Sb  0.0000  0.0000  0.5000
Rh  0.0000  0.0000  0.0000
C  0.5000  0.5000  0.5000

[11]
# InAg2Cl

An optimized crystal structure of InAg2Cl (PBE, Alexandria).

Calculated values
Formation energy without anion corrections in eV/atom: -0.073
D(E_F) in states/eV per cell: 1.45
Calculated volume in Å³/f.u.: 85

a b c (Å): 3.1762 5.0613 5.3049
angles (deg): 90.00 90.00 90.00
Fractional positions:
In  0.0000  0.0000  0.0000
Ag  0.0000  0.5000  0.5000
Ag  0.5000  0.5000  0.0000
Cl  0.5000  0.0000  0.5000

[12]
# ReAg2B2

An optimized crystal structure of ReAg2B2 (PBE, Alexandria).

Calculated values
D(E_F) in states/eV per cell: 2.38
Energy of formation in meV per atom: 988.4
Calculated volume in Å³/f.u.: 62

a b c (Å): 5.5183 5.5183 5.5183
angles (deg): 142.31 142.31 54.37
Fractional positions:
Re  0.0000  0.0000  0.0000
Ag  0.2500  0.7500  0.5000
Ag  0.7500  0.2500  0.5000
B  0.4167  0.4167  0.0000
B  0.5833  0.5833  0.0000

[13]
# RbBeCoPd2

An optimized crystal structure of RbBeCoPd2 (PBE, Alexandria).

Calculated values
D(E_F) in states/eV per cell: 4.06
Energy of formation in meV per atom: 1253.6
Calculated volume in Å³/f.u.: 125

a b c (Å): 4.7080 4.7080 5.6536
angles (deg): 90.00 90.00 90.00
Fractional positions:
Rb  0.0000  0.0000  0.0000
Be  0.5000  0.5000  0.0000
Co  0.0000  0.0000  0.5000
Pd  0.0000  0.5000  0.5000
Pd  0.5000  0.0000  0.5000

[14]
# SmBIr2Rh

An optimized crystal structure of SmBIr2Rh (PBE, Alexandria).

Calculated values
D(E_F) in states/eV per cell: 3.72
Energy of formation in meV per atom: -635.6
Calculated volume in Å³/f.u.: 77

a b c (Å): 4.2378 4.2378 4.2959
angles (deg): 90.00 90.00 90.00
Fractional positions:
Sm  0.0000  0.0000  0.0000
B  0.5000  0.5000  0.5000
Ir  0.0000  0.5000  0.5000
Ir  0.5000  0.0000  0.5000
Rh  0.5000  0.5000  0.0000

[15]
# Pa3GaCo9Si2

An optimized crystal structure of Pa3GaCo9Si2 (PBE, Alexandria).

Calculated values
Formation energy without anion corrections in eV/atom: -0.257
D(E_F) in states/eV per cell: 12.44
Calculated volume in Å³/f.u.: 236

a b c (Å): 5.1303 5.1303 10.3547
angles (deg): 90.00 90.00 120.00
Fractional positions:
Pa  0.0000  0.0000  0.0000
Pa  0.3333  0.6667  0.6994
Pa  0.6667  0.3333  0.3006
Ga  0.0000  0.0000  0.5000
Co  0.0000  0.5000  0.0000
Co  0.1627  0.3254  0.3187
Co  0.1627  0.8373  0.3187
Co  0.3254  0.1627  0.6813
Co  0.5000  0.0000  0.0000
Co  0.5000  0.5000  0.0000
Co  0.6746  0.8373  0.3187
Co  0.8373  0.1627  0.6813
Co  0.8373  0.6746  0.6813
Si  0.3333  0.6667  0.1622
Si  0.6667  0.3333  0.8378

[16]
# CsCl

An optimized crystal structure of CsCl (PBE, Alexandria).

Calculated values
Formation energy without anion corrections in eV/atom: -1.880
D(E_F) in states/eV per cell: 0.00
Calculated volume in Å³/f.u.: 119

a b c (Å): 5.5273 5.5273 5.5273
angles (deg): 60.00 60.00 60.00
Fractional positions:
Cs  0.0000  0.0000  0.0000
Cl  0.2500  0.2500  0.2500

[17]
# LiY3Ag2

An optimized crystal structure of LiY3Ag2 (PBE, Alexandria).

Calculated values
D(E_F) in states/eV per cell: 3.96
Energy of formation in meV per atom: -197.8
Calculated volume in Å³/f.u.: 147

a b c (Å): 8.1744 8.1744 3.6765
angles (deg): 90.00 90.00 143.31
Fractional positions:
Li  0.0000  0.0000  0.0000
Y  0.1702  0.8298  0.5000
Y  0.5000  0.5000  0.5000
Y  0.8298  0.1702  0.5000
Ag  0.3399  0.6601  0.0000
Ag  0.6601  0.3399  0.0000

[18]
# PrGa2Ru2

An optimized crystal structure of PrGa2Ru2 (PBE, Alexandria).

Calculated values
D(E_F) in states/eV per cell: 4.51
Energy of formation in meV per atom: -395.4
Calculated volume in Å³/f.u.: 95

a b c (Å): 5.6962 5.6962 5.6962
angles (deg): 133.72 133.72 67.53
Fractional positions:
Pr  0.0000  0.0000  0.0000
Ga  0.3621  0.3621  0.0000
Ga  0.6379  0.6379  0.0000
Ru  0.2500  0.7500  0.5000
Ru  0.7500  0.2500  0.5000

[19]
# BaIrF

An optimized crystal structure of BaIrF (PBE, Alexandria).

Calculated values
Formation energy without anion corrections in eV/atom: -1.771
D(E_F) in states/eV per cell: 3.87
Calculated volume in Å³/f.u.: 64

a b c (Å): 9.6423 9.6423 9.6423
angles (deg): 157.87 157.87 31.50
Fractional positions:
Ba  0.1483  0.1483  0.0000
Ba  0.8517  0.8517  0.0000
Ir  0.0000  0.5000  0.5000
Ir  0.5000  0.0000  0.5000
F  0.3034  0.3034  0.0000
F  0.6966  0.6966  0.0000

[20]
# NiAs

An optimized crystal structure of NiAs (PBE, Alexandria).

Calculated values
D(E_F) in states/eV per cell: 2.78
Energy of formation in meV per atom: -285.7
Calculated volume in Å³/f.u.: 29

a b c (Å): 3.6558 3.6558 5.0115
angles (deg): 90.00 90.00 120.00
Fractional positions:
Ni  0.0000  0.0000  0.0000
Ni  0.0000  0.0000  0.5000
As  0.3333  0.6667  0.2500
As  0.6667  0.3333  0.7500

[21]
# ErPuTlIn

An optimized crystal structure of ErPuTlIn (PBE, Alexandria).

Calculated values
D(E_F) in states/eV per cell: 9.83
Energy of formation in meV per atom: -195.9
Calculated volume in Å³/f.u.: 109

a b c (Å): 5.3539 5.3539 5.3539
angles (deg): 60.00 60.00 60.00
Fractional positions:
Er  0.0000  0.0000  0.0000
Pu  0.5000  0.5000  0.5000
Tl  0.7500  0.7500  0.7500
In  0.2500  0.2500  0.2500

[22]
# BaMg2TcN4

An optimized crystal structure of BaMg2TcN4 (PBE, Alexandria).

Calculated values
Formation energy without anion corrections in eV/atom: -0.525
D(E_F) in states/eV per cell: 3.80
Calculated volume in Å³/f.u.: 125

a b c (Å): 7.6774 5.7249 5.6949
angles (deg): 90.00 90.00 90.00
Fractional positions:
Ba  0.0000  0.1862  0.0000
Ba  0.5000  0.8138  0.5000
Mg  0.2450  0.3260  0.5078
Mg  0.2550  0.6740  0.0078
Mg  0.7450  0.6740  0.0078
Mg  0.7550  0.3260  0.5078
Tc  0.0000  0.7914  0.5150
Tc  0.5000  0.2086  0.0150
N  0.0000  0.1215  0.4864
N  0.0000  0.7333  0.8394
N  0.1910  0.6567  0.3653
N  0.3090  0.3433  0.8653
N  0.5000  0.2667  0.3394
N  0.5000  0.8785  0.9864
N  0.6910  0.3433  0.8653
N  0.8090  0.6567  0.3653

[23]
# LiMnGe

An optimized crystal structure of LiMnGe (PBE, Alexandria).

Calculated values
D(E_F) in states/eV per cell: 3.92
Energy of formation in meV per atom: -104.7
Calculated volume in Å³/f.u.: 44

a b c (Å): 11.8083 11.8083 11.8083
angles (deg): 166.62 166.62 18.96
Fractional positions:
Li  0.0647  0.0647  0.0000
Li  0.9353  0.9353  0.0000
Mn  0.2197  0.2197  0.0000
Mn  0.7803  0.7803  0.0000
Ge  0.3516  0.3516  0.0000
Ge  0.6484  0.6484  0.0000

[24]
# InAsBr2

An optimized crystal structure of InAsBr2 (PBE, Alexandria).

Calculated values
Formation energy without anion corrections in eV/atom: -0.081
D(E_F) in states/eV per cell: 1.46
Calculated volume in Å³/f.u.: 129

a b c (Å): 8.7904 8.7904 8.7904
angles (deg): 27.69 27.69 27.69
Fractional positions:
In  0.0000  0.0000  0.0000
As  0.2753  0.2753  0.2753
Br  0.5422  0.5422  0.5422
Br  0.7348  0.7348  0.7348

[25]
# ScBeAs2

An optimized crystal structure of ScBeAs2 (PBE, Alexandria).

Calculated values
D(E_F) in states/eV per cell: 2.57
Energy of formation in meV per atom: -384.9
Calculated volume in Å³/f.u.: 73

a b c (Å): 3.6036 3.5918 5.6148
angles (deg): 90.00 90.22 90.00
Fractional positions:
Sc  0.0000  0.0000  0.0000
Be  0.5000  0.0000  0.5000
As  0.4985  0.5000  0.7574
As  0.5015  0.5000  0.2426

[26]
# GeSb2MoI

An optimized crystal structure of GeSb2MoI (PBE, Alexandria).

Calculated values
Formation energy without anion corrections in eV/atom: 1.236
D(E_F) in states/eV per cell: 3.93
Calculated volume in Å³/f.u.: 159

a b c (Å): 5.3577 5.3577 5.5230
angles (deg): 90.00 90.00 90.00
Fractional positions:
Ge  0.0000  0.0000  0.0000
Sb  0.0000  0.5000  0.0000
Sb  0.5000  0.0000  0.0000
Mo  0.5000  0.5000  0.5000
I  0.0000  0.0000  0.5000

[27]
# SrAg2WCl

An optimized crystal structure of SrAg2WCl (PBE, Alexandria).

Calculated values
Formation energy without anion corrections in eV/atom: 1.025
D(E_F) in states/eV per cell: 2.33
Calculated volume in Å³/f.u.: 140

a b c (Å): 5.1206 5.1206 5.3389
angles (deg): 90.00 90.00 90.00
Fractional positions:
Sr  0.0000  0.0000  0.0000
Ag  0.0000  0.5000  0.5000
Ag  0.5000  0.0000  0.5000
W  0.5000  0.5000  0.0000
Cl  0.0000  0.0000  0.5000